VASP calculation (PBE) on a relaxed ErSiI crystal.

**Calculated density**: 6.095 Mg/m³
**E**: -4.83 eV per atom
**Energy relative to the elements, uncorrected**: -986 meV/atom
**M_tot**: 0.000 μB per atom

Lattice parameters (Å, degrees): 7.1116 4.1058 12.2647 90.00 101.32 90.00
With the nearest neighbours (Å) after each atom.
Space group C2/m (No. 12)
Unique sites:
Er (0.0518, 0.0000, 0.1532) x4  6 Si 2.94-3.07, 3 I 3.12
Si (0.1638, 0.5000, 0.9915) x4  3 Si 2.38
I (0.2244, 0.0000, 0.6780) x4  3 Er 3.12